[1]
First-principles (PBE-GGA) data for crystalline MgBeRu at its relaxed geometry, as listed in Alexandria.

Properties
- energy relative to the lowest polymorph listed for this composition (eV per atom) = 0.185
- SG = P3m1, No. 156
- energy of formation from the pure elements (eV per formula unit) = 0.24
- calculated volume (Å³/atom) = 13.383
- calculated density (g cm⁻³) = 5.56

abc: 4.155 4.155 2.686
angles: 90.00 90.00 120.00
Fractional coordinates of all 3 atoms:
Ru (0.667, 0.333, 0.752)
Mg (0.333, 0.667, 0.302)
Be (0.000, 0.000, 0.946)

[2]
First-principles (PBE-GGA) data for crystalline MgBeRu at its relaxed geometry, as listed in Alexandria.

Properties
- energy relative to the lowest polymorph listed for this composition (eV per atom) = 0.305
- SG = F-43m, No. 216
- energy of formation from the pure elements (eV per formula unit) = 0.60
- calculated volume (Å³/atom) = 14.165
- calculated density (g cm⁻³) = 5.25

abc: 3.917 3.917 3.917
angles: 60.00 60.00 60.00
Fractional coordinates of all 3 atoms:
Mg (0.000, 0.000, 0.000)
Ru (0.500, 0.500, 0.500)
Be (0.750, 0.750, 0.750)

[3]
First-principles (PBE-GGA) data for crystalline MgBeRu at its relaxed geometry, as listed in Alexandria.

Properties
- energy relative to the lowest polymorph listed for this composition (eV per atom) = 0.304
- SG = P3m1, No. 156
- energy of formation from the pure elements (eV per formula unit) = 0.60
- calculated volume (Å³/atom) = 14.155
- calculated density (g cm⁻³) = 5.25

abc: 2.822 2.822 6.157
angles: 90.00 90.00 120.00
Fractional coordinates of all 3 atoms:
Mg (0.667, 0.333, 0.335)
Be (0.000, 0.000, 0.967)
Ru (0.333, 0.667, 0.698)

[4]
First-principles (PBE-GGA) data for crystalline MgBeRu4 at its relaxed geometry, as listed in Alexandria.

Properties
- SG = F-43m, No. 216
- energy of formation from the pure elements (eV per formula unit) = 2.82
- calculated volume (Å³/atom) = 15.482
- calculated density (g cm⁻³) = 7.82

abc: 5.083 5.083 5.083
angles: 60.00 60.00 60.00
Fractional coordinates of all 6 atoms:
Be (0.250, 0.250, 0.250)
Ru (0.625, 0.625, 0.126)
Ru (0.126, 0.625, 0.625)
Ru (0.625, 0.625, 0.625)
Mg (0.000, 0.000, 0.000)
Ru (0.625, 0.126, 0.625)

[5]
First-principles (PBE-GGA) data for crystalline MgBe2Ru2 at its relaxed geometry, as listed in Alexandria.

Properties
- energy relative to the lowest polymorph listed for this composition (eV per atom) = 0.000
- SG = P4/mbm, No. 127
- energy of formation from the pure elements (eV per formula unit) = -1.54
- calculated volume (Å³/atom) = 11.637
- calculated density (g cm⁻³) = 6.98

abc: 6.102 6.102 3.125
angles: 90.00 90.00 90.00
Fractional coordinates of all 10 atoms:
Ru (0.672, 0.828, 0.500)
Mg (0.000, 0.000, 0.000)
Ru (0.828, 0.328, 0.500)
Be (0.881, 0.619, 0.000)
Be (0.619, 0.119, 0.000)
Mg (0.500, 0.500, 0.000)
Be (0.381, 0.881, 0.000)
Ru (0.172, 0.672, 0.500)
Be (0.119, 0.381, 0.000)
Ru (0.328, 0.172, 0.500)

[6]
First-principles (PBE-GGA) data for crystalline MgBe2Ru2 at its relaxed geometry, as listed in Alexandria.

Properties
- energy relative to the lowest polymorph listed for this composition (eV per atom) = 0.324
- SG = P4/mbm, No. 127
- energy of formation from the pure elements (eV per formula unit) = 0.08
- calculated volume (Å³/atom) = 12.744
- calculated density (g cm⁻³) = 6.37

abc: 6.739 6.739 2.806
angles: 90.00 90.00 90.00
Fractional coordinates of all 10 atoms:
Mg (0.000, 0.000, 0.000)
Be (0.660, 0.840, 0.500)
Mg (0.500, 0.500, 0.000)
Be (0.160, 0.660, 0.500)
Ru (0.366, 0.866, 0.000)
Ru (0.634, 0.134, 0.000)
Be (0.340, 0.160, 0.500)
Ru (0.866, 0.634, 0.000)
Be (0.840, 0.340, 0.500)
Ru (0.134, 0.366, 0.000)

[7]
First-principles (PBE-GGA) data for crystalline MgBeRu2S at its relaxed geometry, as listed in Alexandria.

Properties
- formation energy without anion corrections (eV per atom) = 1.7332
- SG = P4/mmm, No. 123
- calculated volume (Å³/atom) = 19.162
- calculated density (g cm⁻³) = 4.64

abc: 4.665 4.403 4.665
angles: 90.00 90.00 90.00
Fractional coordinates of all 5 atoms:
Be (0.500, 0.500, 0.500)
Ru (0.500, 0.000, 0.000)
Ru (0.000, 0.000, 0.500)
Mg (0.000, 0.000, 0.000)
S (0.000, 0.500, 0.000)

[8]
First-principles (PBE-GGA) data for crystalline MgBeTe2Ru at its relaxed geometry, as listed in Alexandria.

Properties
- formation energy without anion corrections (eV per atom) = 1.3892
- SG = P4/mmm, No. 123
- calculated volume (Å³/atom) = 26.980
- calculated density (g cm⁻³) = 4.80

abc: 5.310 4.784 5.310
angles: 90.00 90.00 90.00
Fractional coordinates of all 5 atoms:
Te (0.500, 0.000, 0.000)
Mg (0.000, 0.000, 0.000)
Be (0.500, 0.500, 0.500)
Ru (0.000, 0.500, 0.000)
Te (0.000, 0.000, 0.500)

[9]
First-principles (PBE-GGA) data for crystalline MgBeS at its relaxed geometry, as listed in Alexandria.

Properties
- energy relative to the lowest polymorph listed for this composition (eV per atom) = 0.103
- formation energy without anion corrections (eV per atom) = -0.5060
- SG = Pm, No. 6
- calculated volume (Å³/atom) = 16.571
- calculated density (g cm⁻³) = 2.18

abc: 5.466 3.385 5.630
angles: 90.00 107.36 90.00
Fractional coordinates of all 6 atoms:
Mg (0.054, 0.000, 0.453)
Be (0.878, 0.500, 0.777)
Be (0.663, 0.500, 0.391)
S (0.451, 0.500, 0.632)
S (0.033, 0.000, 0.977)
Mg (0.527, 0.000, 0.006)

[10]
First-principles (PBE-GGA) data for crystalline MgBeS at its relaxed geometry, as listed in Alexandria.

Properties
- energy relative to the lowest polymorph listed for this composition (eV per atom) = 0.084
- formation energy without anion corrections (eV per atom) = -0.5246
- SG = Pmn2_1, No. 31
- calculated volume (Å³/atom) = 17.719
- calculated density (g cm⁻³) = 2.04

abc: 3.401 5.354 5.839
angles: 90.00 90.00 90.00
Fractional coordinates of all 6 atoms:
Mg (0.500, 0.002, 0.788)
Be (0.000, 0.380, 0.622)
Be (0.500, 0.620, 0.122)
S (0.500, 0.510, 0.780)
S (0.000, 0.490, 0.280)
Mg (0.000, 0.998, 0.288)

[11]
First-principles (PBE-GGA) data for crystalline MgBeS at its relaxed geometry, as listed in Alexandria.

Properties
- energy relative to the lowest polymorph listed for this composition (eV per atom) = 0.101
- formation energy without anion corrections (eV per atom) = -0.5073
- SG = Cm, No. 8
- calculated volume (Å³/atom) = 17.674
- calculated density (g cm⁻³) = 2.05

abc: 5.716 3.371 5.839
angles: 90.00 109.53 90.00
Fractional coordinates of all 6 atoms:
Mg (0.044, 0.000, 0.726)
S (0.523, 0.500, 0.388)
Be (0.654, 0.000, 0.265)
Be (0.654, 0.500, 0.765)
S (0.523, 0.000, 0.888)
Mg (0.044, 0.500, 0.226)

[12]
First-principles (PBE-GGA) data for crystalline MgBeS3 at its relaxed geometry, as listed in Alexandria.

Properties
- energy relative to the lowest polymorph listed for this composition (eV per atom) = 0.776
- formation energy without anion corrections (eV per atom) = 0.7012
- SG = Pm-3m, No. 221
- calculated volume (Å³/atom) = 21.113
- calculated density (g cm⁻³) = 2.04

abc: 4.726 4.726 4.726
angles: 90.00 90.00 90.00
Fractional coordinates of all 5 atoms:
S (0.000, 0.500, 0.000)
S (0.500, 0.000, 0.000)
S (0.000, 0.000, 0.500)
Mg (0.000, 0.000, 0.000)
Be (0.500, 0.500, 0.500)